Record 1
CsH | the Alexandria database | PBE | optimized geometry; crystal system = cubic; VASP energy = -2.221 eV/atom; space-group type = F-43m (216)
1.0
6.916 0.000 0.000
0.000 6.916 0.000
0.000 0.000 6.916
H Cs
4 4
direct
0.250 0.750 0.750
0.250 0.250 0.250
0.750 0.250 0.750
0.750 0.750 0.250
0.500 0.000 0.500
0.000 0.000 0.000
0.000 0.500 0.500
0.500 0.500 0.000



Record 2
NaLi2TlPb | the Alexandria database | PBE | optimized geometry; crystal system = orthorhombic; VASP energy = -2.447 eV/atom; calculated formation energy = -98 kJ/mol of formula units; space-group type = Cmcm (63)
1.0
4.613 0.000 0.000
-2.307 7.662 0.000
0.000 0.000 6.614
Li Na Tl Pb
4 2 2 2
direct
0.302 0.604 0.498
0.302 0.604 0.002
0.698 0.396 0.998
0.698 0.396 0.502
0.500 0.000 0.000
0.500 0.000 0.500
0.870 0.739 0.750
0.130 0.261 0.250
0.871 0.741 0.250
0.129 0.259 0.750



Record 3
Th2GaAg3 | the Alexandria database | PBE | optimized geometry; crystal system = orthorhombic; VASP energy = -4.659 eV/atom; calculated formation energy = -148 kJ/mol of formula units; E above lowest polymorph = 0 meV/atom; space-group type = Fmmm (69)
1.0
5.777 1.202 0.000
0.843 5.840 0.000
-3.310 -3.521 8.390
Ag Th Ga
6 4 2
direct
0.339 0.339 0.169
0.169 0.169 0.338
0.170 0.170 0.831
0.831 0.831 0.662
0.661 0.661 0.831
0.830 0.830 0.169
0.757 0.243 0.000
0.243 0.757 0.000
0.250 0.750 0.500
0.750 0.250 0.500
0.333 0.333 0.667
0.667 0.667 0.333



Record 4
Cu2IrRh2 | the Alexandria database | PBE | optimized geometry; crystal system = tetragonal; VASP energy = -5.892 eV/atom; calculated formation energy = 221 kJ/mol of formula units; E above lowest polymorph = 122 meV/atom; space-group type = I4/mmm (139)
1.0
3.299 0.000 0.000
0.000 3.299 0.000
-1.650 -1.650 6.688
Ir Rh Cu
1 2 2
direct
0.000 0.000 0.000
0.598 0.598 0.196
0.402 0.402 0.804
0.750 0.250 0.500
0.250 0.750 0.500



Record 5
PrSmEr2Hg4 | the Alexandria database | PBE | optimized geometry; crystal system = trigonal; VASP energy = -2.943 eV/atom; calculated formation energy = -358 kJ/mol of formula units; space-group type = R-3m (166)
1.0
-5.213 1.003 0.385
-2.460 -0.465 4.697
-0.823 8.535 3.430
Hg Er Pr Sm
4 2 1 1
direct
0.126 0.126 0.621
0.377 0.377 0.870
0.874 0.874 0.379
0.623 0.623 0.130
0.250 0.250 0.251
0.750 0.750 0.749
0.000 0.000 0.000
0.500 0.500 0.500



Record 6
MnCu2Pb | the Alexandria database | PBE | optimized geometry; crystal system = monoclinic; VASP energy = -4.943 eV/atom; calculated formation energy = 125 kJ/mol of formula units; space-group type = Pm (6)
1.0
-0.174 -4.133 -0.376
1.510 -0.316 2.776
-3.790 -0.203 3.988
Cu Mn Pb
2 1 1
direct
0.500 0.048 0.275
0.000 0.183 0.016
0.000 0.471 0.419
0.500 0.798 0.791



Record 7
Tb6PrNi2 | the Alexandria database | PBE | optimized geometry; crystal system = orthorhombic; VASP energy = -5.022 eV/atom; calculated formation energy = -104 kJ/mol of formula units; space-group type = Immm (71)
1.0
-7.327 2.743 3.614
2.399 -8.011 2.080
6.225 5.247 2.825
Tb Ni Pr
12 4 2
direct
0.693 0.006 0.313
0.114 0.305 0.809
0.886 0.695 0.191
0.780 0.223 0.003
0.780 0.777 0.558
0.220 0.777 0.997
0.496 0.305 0.191
0.504 0.695 0.809
0.307 0.620 0.313
0.307 0.994 0.687
0.220 0.223 0.442
0.693 0.380 0.687
0.631 0.000 0.631
0.369 0.000 0.369
0.500 0.381 0.881
0.500 0.619 0.119
0.000 0.500 0.500
0.000 0.000 0.000



Record 8
Ti2IrPt | the Alexandria database | PBE | optimized geometry; crystal system = tetragonal; VASP energy = -8.543 eV/atom; calculated formation energy = -336 kJ/mol of formula units; space-group type = P4/mmm (123)
1.0
-2.140 1.734 -2.487
-1.692 -3.547 -1.017
-2.852 0.548 2.837
Ti Pt Ir
2 1 1
direct
0.000 0.000 0.500
0.000 0.500 0.000
0.500 0.000 0.000
0.500 0.500 0.500



Record 9
BaCdPt2 | the Alexandria database | PBE | optimized geometry; crystal system = trigonal; VASP energy = -4.218 eV/atom; calculated formation energy = -189 kJ/mol of formula units; space-group type = R3m (160)
1.0
-3.984 2.180 -0.799
-2.248 -0.688 -3.967
-4.959 -3.891 0.804
Pt Cd Ba
2 1 1
direct
0.024 0.024 0.929
0.692 0.692 0.923
0.295 0.295 0.115
0.489 0.489 0.533



Record 10
Zn2RhPb | the Alexandria database | PBE | optimized geometry; crystal system = orthorhombic; VASP energy = -3.304 eV/atom; calculated formation energy = 38 kJ/mol of formula units; space-group type = Cmmm (65)
1.0
4.760 0.017 0.000
-1.526 4.509 0.000
0.000 0.000 3.291
Rh Zn Pb
1 2 1
direct
0.000 0.500 0.500
0.500 0.500 0.000
0.000 0.000 0.000
0.500 0.000 0.500



Record 11
Pr8TlGa3I4 | the Alexandria database | PBE | optimized geometry; crystal system = trigonal; VASP energy = -4.228 eV/atom; ΔE_f (raw) = -0.735 eV/atom; space-group type = R-3m (166)
1.0
-0.897 -5.718 6.788
8.485 -3.183 -1.560
-1.166 8.742 1.349
Pr Ga I Tl
8 3 4 1
direct
0.271 0.281 0.026
0.729 0.719 0.974
0.245 0.719 0.489
0.755 0.281 0.026
0.263 0.290 0.527
0.245 0.719 0.974
0.755 0.281 0.511
0.737 0.710 0.473
0.000 0.500 0.500
0.500 0.500 0.500
0.500 0.500 0.000
0.000 0.000 0.000
0.500 0.000 0.500
0.000 0.000 0.500
0.500 0.000 0.000
0.000 0.500 0.000



Record 12
ZnBS2N | the Alexandria database | PBE | optimized geometry; crystal system = tetragonal; VASP energy = -4.591 eV/atom; ΔE_f (raw) = 0.316 eV/atom; E above lowest polymorph = 0 meV/atom; space-group type = P4/mmm (123)
1.0
5.215 0.000 0.000
0.000 5.215 0.000
0.000 0.000 2.658
Zn B N S
1 1 1 2
direct
0.500 0.500 0.500
0.000 0.000 0.000
0.000 0.000 0.500
0.500 0.000 0.000
0.000 0.500 0.000



Repeat the eighth record exactly.
Ti2IrPt | the Alexandria database | PBE | optimized geometry; crystal system = tetragonal; VASP energy = -8.543 eV/atom; calculated formation energy = -336 kJ/mol of formula units; space-group type = P4/mmm (123)
1.0
-2.140 1.734 -2.487
-1.692 -3.547 -1.017
-2.852 0.548 2.837
Ti Pt Ir
2 1 1
direct
0.000 0.000 0.500
0.000 0.500 0.000
0.500 0.000 0.000
0.500 0.500 0.500



Q: The highest VASP energy belongs to which entry?
A: CsH



Q: Which value of VASP energy does entry 7 give?
A: -5.022 eV/atom